Version P
Crystalline TbSm3Th at its relaxed geometry, computed with PBE.

```
TbSm3Th
1.0
3.449 1.991 8.713
-3.449 1.991 8.713
0.000 -3.982 8.713
Tb Sm Th
2 6 2
Direct
0.182 0.182 0.182
0.818 0.818 0.818
0.230 0.230 0.744
0.230 0.744 0.230
0.256 0.770 0.770
0.744 0.230 0.230
0.770 0.256 0.770
0.770 0.770 0.256
0.302 0.302 0.302
0.698 0.698 0.698
```

Properties
* M_tot: 0.0 μB per formula unit
* ρ: 7.790 g/cm3

---

Version Q
Crystalline TbSm3Th at its relaxed geometry, computed with PBE.

```
TbSm3Th
1.0
6.305 0.000 0.000
3.146 6.116 0.000
0.004 3.394 8.683
Tb Sm Th
2 6 2
Direct
0.133 0.408 0.348
0.867 0.592 0.652
0.054 0.204 0.055
0.275 0.797 0.458
0.342 0.997 0.760
0.658 0.003 0.240
0.725 0.203 0.542
0.946 0.796 0.945
0.477 0.403 0.848
0.523 0.597 0.152
```

Properties
* M_tot: 0.0 μB per formula unit
* ρ: 8.352 g/cm3

---

Which one sits at the bottom of the stability order? version P does.

---

Version P
Crystalline Tb3Sm4Th2 at its relaxed geometry, computed with PBE.

```
Tb3Sm4Th2
1.0
3.582 0.000 0.000
-1.791 3.102 0.000
0.000 0.000 26.904
Tb Sm Th
3 4 2
Direct
0.000 0.000 0.000
0.000 0.000 0.342
0.667 0.333 0.671
0.000 0.000 0.563
0.000 0.000 0.781
0.667 0.333 0.236
0.667 0.333 0.452
0.667 0.333 0.109
0.667 0.333 0.891
```

Properties
* M_tot: 0.0 μB per formula unit
* ρ: 8.567 g/cm3

---

Version Q
Crystalline Tb3Sm4Th2 at its relaxed geometry, computed with PBE.

```
Tb3Sm4Th2
1.0
9.409 -1.813 0.000
9.409 1.813 0.000
-4.166 0.000 8.676
Tb Sm Th
3 4 2
Direct
0.000 0.000 0.000
0.150 0.150 0.674
0.850 0.850 0.326
0.185 0.185 0.326
0.483 0.483 0.668
0.517 0.517 0.332
0.815 0.815 0.674
0.332 0.332 0.000
0.668 0.668 0.000
```

Properties
* M_tot: 0.0 μB per formula unit
* ρ: 8.652 g/cm3

---

Which one sits at the bottom of the stability order? version P does.

---

Version P
Crystalline TbSmYTh at its relaxed geometry, computed with PBE.

```
TbSmYTh
1.0
1.806 1.042 11.560
-1.806 1.042 11.560
0.000 -2.085 11.560
Tb Sm Y Th
1 1 1 1
Direct
0.000 0.000 0.000
0.169 0.169 0.169
0.418 0.418 0.418
0.585 0.585 0.585
```

Properties
* M_tot: 0.3 μB per formula unit
* ρ: 8.016 g/cm3

---

Version Q
Crystalline TbSmYTh at its relaxed geometry, computed with PBE.

```
TbSmYTh
1.0
0.000 4.035 4.035
4.035 0.000 4.035
4.035 4.035 0.000
Tb Sm Y Th
1 1 1 1
Direct
0.000 0.000 0.000
0.500 0.500 0.500
0.750 0.750 0.750
0.250 0.250 0.250
```

Properties
* M_tot: 0.0 μB per formula unit
* ρ: 7.966 g/cm3

---

Which one sits at the bottom of the stability order? version Q does.